This record from Alexandria describes an optimized crystal structure of K2Ga7Au12. The functional is PBE.

Cell: 4.5144 10.4631 10.4678 Å, 60.03 89.86 89.98°
Space group P-1 (No. 2)
One atom of each set of equivalent atoms:
K1 0.2368 0.1664 0.1671 x2
Ga1 0.2894 0.1077 0.6082 x2
Ga2 0.2890 0.7844 0.1065 x2
Ga3 0.2918 0.6088 0.7839 x2
Ga4 0.5000 0.5000 0.5000 x1
Au1 0.2021 0.3698 0.3735 x2
Au2 0.2048 0.7573 0.3686 x2
Au3 0.2056 0.3732 0.7576 x2
Au4 0.2373 0.5621 0.0531 x2
Au5 0.2380 0.8847 0.5618 x2
Au6 0.2390 0.0535 0.8844 x2

Calculated values
* energy of formation: -0.231 eV/atom
* total magnetic moment: 0.000 μB/f.u.